No. 1
A plane-wave DFT calculation with GGA-PBE was carried out for an optimized crystal structure of RbBe2BiF8.

space group: R32, No. 155
formation energy (no corrections): -282 kJ per mole of atoms
magnetization: 0.000 μB per cell

Structure (CIF):
```
data_RbBe2BiF8
_chemical_formula_sum 'Rb1 Be2 Bi1 F8'
_space_group_name_H-M_alt 'P 1'
_space_group_IT_number 1
_space_group_name_Hall 'P 1'
_cell_length_a 8.9879
_cell_length_b 8.9879
_cell_length_c 8.9879
_cell_angle_alpha 32.82
_cell_angle_beta 32.82
_cell_angle_gamma 32.82
loop_
_atom_site_label
_atom_site_fract_x
_atom_site_fract_y
_atom_site_fract_z
_atom_site_occupancy
Rb1 0.0000 0.0000 0.0000 1
Be1 0.2470 0.2470 0.2470 1
Be2 0.7530 0.7530 0.7530 1
Bi1 0.5000 0.5000 0.5000 1
F1 0.0706 0.4905 0.7713 1
F2 0.2287 0.5095 0.9294 1
F3 0.3050 0.3050 0.3050 1
F4 0.4905 0.7713 0.0706 1
F5 0.5095 0.9294 0.2287 1
F6 0.6950 0.6950 0.6950 1
F7 0.7713 0.0706 0.4905 1
F8 0.9294 0.2287 0.5095 1
```

No. 2
A plane-wave DFT calculation with GGA-PBE was carried out for an optimized crystal structure of Hf4HgO.

space group: C2/c, No. 15
formation energy (no corrections): -58 kJ per mole of atoms
magnetization: 0.000 μB per cell

Structure (CIF):
```
data_Hf4HgO
_chemical_formula_sum 'Hf8 Hg2 O2'
_space_group_name_H-M_alt 'P 1'
_space_group_IT_number 1
_space_group_name_Hall 'P 1'
_cell_length_a 7.8967
_cell_length_b 7.8967
_cell_length_c 5.6154
_cell_angle_alpha 104.32
_cell_angle_beta 104.32
_cell_angle_gamma 123.92
loop_
_atom_site_label
_atom_site_fract_x
_atom_site_fract_y
_atom_site_fract_z
_atom_site_occupancy
Hf1 0.1247 0.6835 0.9270 1
Hf2 0.1851 0.3487 0.6468 1
Hf3 0.3165 0.8753 0.5730 1
Hf4 0.3487 0.1851 0.1468 1
Hf5 0.6513 0.8149 0.8532 1
Hf6 0.6835 0.1247 0.4270 1
Hf7 0.8149 0.6513 0.3532 1
Hf8 0.8753 0.3165 0.0730 1
Hg1 0.4009 0.5991 0.2500 1
Hg2 0.5991 0.4009 0.7500 1
O1 0.1055 0.8945 0.7500 1
O2 0.8945 0.1055 0.2500 1
```

No. 3
A plane-wave DFT calculation with GGA-PBE was carried out for an optimized crystal structure of CrRe2Bi.

energy relative to the elements: 1022 meV per atom
space group: I-42d, No. 122
magnetization: 12.159 μB per cell

Structure (CIF):
```
data_CrRe2Bi
_chemical_formula_sum 'Cr4 Re8 Bi4'
_space_group_name_H-M_alt 'P 1'
_space_group_IT_number 1
_space_group_name_Hall 'P 1'
_cell_length_a 4.0257
_cell_length_b 4.0257
_cell_length_c 19.1638
_cell_angle_alpha 90.00
_cell_angle_beta 90.00
_cell_angle_gamma 90.00
loop_
_atom_site_label
_atom_site_fract_x
_atom_site_fract_y
_atom_site_fract_z
_atom_site_occupancy
Cr1 0.0000 0.0000 0.0000 1
Cr2 0.0000 0.5000 0.2500 1
Cr3 0.5000 0.0000 0.7500 1
Cr4 0.5000 0.5000 0.5000 1
Re1 0.1740 0.2500 0.1250 1
Re2 0.2500 0.6740 0.3750 1
Re3 0.2500 0.8260 0.8750 1
Re4 0.3260 0.2500 0.6250 1
Re5 0.6740 0.7500 0.6250 1
Re6 0.7500 0.1740 0.8750 1
Re7 0.7500 0.3260 0.3750 1
Re8 0.8260 0.7500 0.1250 1
Bi1 0.0000 0.0000 0.5000 1
Bi2 0.0000 0.5000 0.7500 1
Bi3 0.5000 0.0000 0.2500 1
Bi4 0.5000 0.5000 0.0000 1
```

No. 4
A plane-wave DFT calculation with GGA-PBE was carried out for an optimized crystal structure of VSiPb2Se.

space group: P4/mmm, No. 123
formation energy (no corrections): 53 kJ per mole of atoms
magnetization: 0.000 μB per cell

Structure (CIF):
```
data_VSiPb2Se
_chemical_formula_sum 'V1 Si1 Pb2 Se1'
_space_group_name_H-M_alt 'P 1'
_space_group_IT_number 1
_space_group_name_Hall 'P 1'
_cell_length_a 5.4494
_cell_length_b 5.4494
_cell_length_c 4.5284
_cell_angle_alpha 90.00
_cell_angle_beta 90.00
_cell_angle_gamma 90.00
loop_
_atom_site_label
_atom_site_fract_x
_atom_site_fract_y
_atom_site_fract_z
_atom_site_occupancy
V1 0.0000 0.0000 0.0000 1
Si1 0.5000 0.5000 0.5000 1
Pb1 0.0000 0.5000 0.0000 1
Pb2 0.5000 0.0000 0.0000 1
Se1 0.0000 0.0000 0.5000 1
```

No. 5
A plane-wave DFT calculation with GGA-PBE was carried out for an optimized crystal structure of Ba2SrCd.

energy relative to the elements: -15 meV per atom
space group: I4/mmm, No. 139
magnetization: 0.004 μB per cell

Structure (CIF):
```
data_Ba2SrCd
_chemical_formula_sum 'Ba4 Sr2 Cd2'
_space_group_name_H-M_alt 'P 1'
_space_group_IT_number 1
_space_group_name_Hall 'P 1'
_cell_length_a 5.7278
_cell_length_b 5.7278
_cell_length_c 11.3683
_cell_angle_alpha 90.00
_cell_angle_beta 90.00
_cell_angle_gamma 90.00
loop_
_atom_site_label
_atom_site_fract_x
_atom_site_fract_y
_atom_site_fract_z
_atom_site_occupancy
Ba1 0.0000 0.5000 0.2500 1
Ba2 0.0000 0.5000 0.7500 1
Ba3 0.5000 0.0000 0.2500 1
Ba4 0.5000 0.0000 0.7500 1
Sr1 0.0000 0.0000 0.0000 1
Sr2 0.5000 0.5000 0.5000 1
Cd1 0.0000 0.0000 0.5000 1
Cd2 0.5000 0.5000 0.0000 1
```

No. 6
A plane-wave DFT calculation with GGA-PBE was carried out for an optimized crystal structure of ZrIn.

energy relative to the elements: -320 meV per atom
space group: P4/mmm, No. 123
magnetization: 0.000 μB per cell

Structure (CIF):
```
data_ZrIn
_chemical_formula_sum 'Zr1 In1'
_space_group_name_H-M_alt 'P 1'
_space_group_IT_number 1
_space_group_name_Hall 'P 1'
_cell_length_a 3.1646
_cell_length_b 3.1646
_cell_length_c 4.4278
_cell_angle_alpha 90.00
_cell_angle_beta 90.00
_cell_angle_gamma 90.00
loop_
_atom_site_label
_atom_site_fract_x
_atom_site_fract_y
_atom_site_fract_z
_atom_site_occupancy
Zr1 0.0000 0.0000 0.0000 1
In1 0.5000 0.5000 0.5000 1
```

No. 7
A plane-wave DFT calculation with GGA-PBE was carried out for an optimized crystal structure of La2CrFeS.

space group: P4/mmm, No. 123
formation energy (no corrections): -2 kJ per mole of atoms
magnetization: 4.710 μB per cell

Structure (CIF):
```
data_La2CrFeS
_chemical_formula_sum 'La2 Cr1 Fe1 S1'
_space_group_name_H-M_alt 'P 1'
_space_group_IT_number 1
_space_group_name_Hall 'P 1'
_cell_length_a 5.4597
_cell_length_b 5.4597
_cell_length_c 4.1376
_cell_angle_alpha 90.00
_cell_angle_beta 90.00
_cell_angle_gamma 90.00
loop_
_atom_site_label
_atom_site_fract_x
_atom_site_fract_y
_atom_site_fract_z
_atom_site_occupancy
La1 0.0000 0.5000 0.0000 1
La2 0.5000 0.0000 0.0000 1
Cr1 0.0000 0.0000 0.5000 1
Fe1 0.5000 0.5000 0.0000 1
S1 0.5000 0.5000 0.5000 1
```

No. 8
A plane-wave DFT calculation with GGA-PBE was carried out for an optimized crystal structure of Ba2Zn2H.

space group: I4_1/amd, No. 141
E: -2.179 eV per atom
magnetization: 0.000 μB per cell

Structure (CIF):
```
data_Ba2Zn2H
_chemical_formula_sum 'Ba4 Zn4 H2'
_space_group_name_H-M_alt 'P 1'
_space_group_IT_number 1
_space_group_name_Hall 'P 1'
_cell_length_a 13.9965
_cell_length_b 13.9965
_cell_length_c 13.9965
_cell_angle_alpha 160.85
_cell_angle_beta 160.85
_cell_angle_gamma 27.21
loop_
_atom_site_label
_atom_site_fract_x
_atom_site_fract_y
_atom_site_fract_z
_atom_site_occupancy
Ba1 0.0777 0.3277 0.7500 1
Ba2 0.3277 0.0777 0.2500 1
Ba3 0.6723 0.9223 0.7500 1
Ba4 0.9223 0.6723 0.2500 1
Zn1 0.2293 0.4793 0.7500 1
Zn2 0.4793 0.2293 0.2500 1
Zn3 0.5207 0.7707 0.7500 1
Zn4 0.7707 0.5207 0.2500 1
H1 0.1250 0.8750 0.2500 1
H2 0.8750 0.1250 0.7500 1
```

No. 9
A plane-wave DFT calculation with GGA-PBE was carried out for an optimized crystal structure of Ti4ZnO8.

energy above the most stable polymorph in this dataset: 0 meV/atom
space group: Cm, No. 8
formation energy (no corrections): -259 kJ per mole of atoms
magnetization: 0.003 μB per cell

Structure (CIF):
```
data_Ti4ZnO8
_chemical_formula_sum 'Ti4 Zn1 O8'
_space_group_name_H-M_alt 'P 1'
_space_group_IT_number 1
_space_group_name_Hall 'P 1'
_cell_length_a 7.4829
_cell_length_b 7.4829
_cell_length_c 10.3714
_cell_angle_alpha 133.82
_cell_angle_beta 133.82
_cell_angle_gamma 22.76
loop_
_atom_site_label
_atom_site_fract_x
_atom_site_fract_y
_atom_site_fract_z
_atom_site_occupancy
Ti1 0.0000 0.0000 0.0000 1
Ti2 0.1834 0.1834 0.7003 1
Ti3 0.5170 0.5170 0.3342 1
Ti4 0.7004 0.7004 0.0344 1
Zn1 0.8504 0.8504 0.5167 1
O1 0.1404 0.1404 0.4646 1
O2 0.1850 0.1850 0.8904 1
O3 0.1926 0.1926 0.1502 1
O4 0.5077 0.5077 0.8842 1
O5 0.5153 0.5153 0.1440 1
O6 0.5599 0.5599 0.5698 1
O7 0.8119 0.8119 0.8131 1
O8 0.8885 0.8885 0.2214 1
```

No. 10
A plane-wave DFT calculation with GGA-PBE was carried out for an optimized crystal structure of Li2TiGa4.

energy relative to the elements: -307 meV per atom
space group: I4/mmm, No. 139
magnetization: 0.000 μB per cell

Structure (CIF):
```
data_Li2TiGa4
_chemical_formula_sum 'Li4 Ti2 Ga8'
_space_group_name_H-M_alt 'P 1'
_space_group_IT_number 1
_space_group_name_Hall 'P 1'
_cell_length_a 6.0927
_cell_length_b 6.0927
_cell_length_c 6.3364
_cell_angle_alpha 90.00
_cell_angle_beta 90.00
_cell_angle_gamma 90.00
loop_
_atom_site_label
_atom_site_fract_x
_atom_site_fract_y
_atom_site_fract_z
_atom_site_occupancy
Li1 0.0000 0.5000 0.0000 1
Li2 0.0000 0.5000 0.5000 1
Li3 0.5000 0.0000 0.0000 1
Li4 0.5000 0.0000 0.5000 1
Ti1 0.0000 0.0000 0.0000 1
Ti2 0.5000 0.5000 0.5000 1
Ga1 0.2500 0.2500 0.2500 1
Ga2 0.2500 0.2500 0.7500 1
Ga3 0.2500 0.7500 0.2500 1
Ga4 0.2500 0.7500 0.7500 1
Ga5 0.7500 0.2500 0.2500 1
Ga6 0.7500 0.2500 0.7500 1
Ga7 0.7500 0.7500 0.2500 1
Ga8 0.7500 0.7500 0.7500 1
```

No. 11
A plane-wave DFT calculation with GGA-PBE was carried out for an optimized crystal structure of UBiH2.

space group: R-3m, No. 166
E: -5.631 eV per atom
magnetization: 6.185 μB per cell

Structure (CIF):
```
data_UBiH2
_chemical_formula_sum 'U3 Bi3 H6'
_space_group_name_H-M_alt 'P 1'
_space_group_IT_number 1
_space_group_name_Hall 'P 1'
_cell_length_a 3.7219
_cell_length_b 3.7219
_cell_length_c 15.4142
_cell_angle_alpha 90.00
_cell_angle_beta 90.00
_cell_angle_gamma 120.00
loop_
_atom_site_label
_atom_site_fract_x
_atom_site_fract_y
_atom_site_fract_z
_atom_site_occupancy
U1 0.0000 0.0000 0.0000 1
U2 0.3333 0.6667 0.6667 1
U3 0.6667 0.3333 0.3333 1
Bi1 0.0000 0.0000 0.5000 1
Bi2 0.3333 0.6667 0.1667 1
Bi3 0.6667 0.3333 0.8333 1
H1 0.0000 0.0000 0.3051 1
H2 0.0000 0.0000 0.6949 1
H3 0.3333 0.6667 0.3615 1
H4 0.3333 0.6667 0.9718 1
H5 0.6667 0.3333 0.0282 1
H6 0.6667 0.3333 0.6385 1
```

No. 12
A plane-wave DFT calculation with GGA-PBE was carried out for an optimized crystal structure of CuAu2I8.

energy above the most stable polymorph in this dataset: 24 meV/atom
space group: C2/m, No. 12
formation energy (no corrections): 5 kJ per mole of atoms
magnetization: 0.629 μB per cell

Structure (CIF):
```
data_CuAu2I8
_chemical_formula_sum 'Cu1 Au2 I8'
_space_group_name_H-M_alt 'P 1'
_space_group_IT_number 1
_space_group_name_Hall 'P 1'
_cell_length_a 9.5610
_cell_length_b 9.5610
_cell_length_c 11.8764
_cell_angle_alpha 125.67
_cell_angle_beta 125.67
_cell_angle_gamma 50.01
loop_
_atom_site_label
_atom_site_fract_x
_atom_site_fract_y
_atom_site_fract_z
_atom_site_occupancy
Cu1 0.0000 0.0000 0.0000 1
Au1 0.2683 0.2683 0.4124 1
Au2 0.7317 0.7317 0.5876 1
I1 0.1438 0.6440 0.8437 1
I2 0.1991 0.1991 0.5525 1
I3 0.3560 0.8562 0.1563 1
I4 0.3807 0.3807 0.3401 1
I5 0.6193 0.6193 0.6599 1
I6 0.6440 0.1438 0.8437 1
I7 0.8009 0.8009 0.4475 1
I8 0.8562 0.3560 0.1563 1
```